VASP calculation (GGA-PBE) on crystalline AsPPtSe2 at its relaxed geometry.

a b c (Å): 5.005 5.005 4.757
angles (deg): 90.00 90.00 90.00
Space group P4/mmm (No. 123)
Asymmetric unit:
As  0.000  0.000  0.000 x1
P  0.500  0.500  0.000 x1
Pt  0.000  0.000  0.500 x1
Se  0.000  0.500  0.500 x2

Computed properties:
Its energy relative to the lowest polymorph listed for this composition is 0.00 eV per formula unit. Its total magnetization is 0.00 μB/cell. Its energy relative to the elements, uncorrected is 0.852 eV per atom.